The following is a DFT calculation (PBE) of a relaxed structure of LiGaRhCl2.

Summary:
magnetization: 0.95 μB per formula unit
E_form (uncorrected): -5.8 kJ/mol of atoms
DOS at the Fermi energy: 4.22 states/eV/f.u.

CIF file:
```
data_LiGaRhCl2
_chemical_formula_sum 'Li1 Ga1 Rh1 Cl2'
_cell_length_a 5.253
_cell_length_b 4.742
_cell_length_c 5.253
_cell_angle_alpha 90.00
_cell_angle_beta 90.00
_cell_angle_gamma 90.00
_symmetry_space_group_name_H-M 'P 1'
_symmetry_Int_Tables_number 1
_symmetry_space_group_name_Hall 'P 1'
loop_
_atom_site_label
_atom_site_fract_x
_atom_site_fract_y
_atom_site_fract_z
Ga1 0.000 0.000 0.000
Cl1 0.500 0.000 0.000
Cl2 0.000 0.000 0.500
Rh1 0.000 0.500 0.000
Li1 0.500 0.500 0.500
```